Record 1
15
Lattice="3.455 1.995 5.611 -3.455 1.995 5.611 0.000 -3.989 5.611" Properties=species:S:1:pos:R:3 comment="GGA-PBE Na3Y3PuO8, optimized geometry" sg="R-3m, No. 166" dft_energy_ev_per_atom=-7.9470 pbc="T T T"
Na -1.727 -0.997 5.611
Na -1.727 0.997 11.223
Na 0.000 1.995 5.611
Y -3.455 0.000 8.417
Y -1.727 0.997 2.806
Y 1.727 0.997 2.806
Pu 0.000 0.000 8.417
O 0.000 0.000 3.974
O -1.664 -0.961 9.539
O 0.000 -1.922 7.295
O -1.664 0.961 7.295
O 1.664 -0.961 9.539
O 0.000 1.922 9.539
O 1.664 0.961 7.295
O 0.000 0.000 12.861

---

Record 2
4
Lattice="3.190 0.000 0.000 0.000 3.190 0.000 0.000 0.000 7.409" Properties=species:S:1:pos:R:3 comment="GGA-PBE CaMn2Cu, optimized geometry" sg="P4/mmm, No. 123" formation_enthalpy_0k_ev_per_atom=0.4377 pbc="T T T"
Ca 0.000 0.000 0.000
Mn 1.595 1.595 2.358
Mn 1.595 1.595 5.052
Cu 0.000 0.000 3.705

---

Record 3
18
Lattice="10.558 0.000 0.000 0.000 10.558 0.000 0.000 0.000 6.431" Properties=species:S:1:pos:R:3 comment="GGA-PBE SrAc4Hg4, optimized geometry" sg="P4_2/n, No. 86" formation_enthalpy_0k_ev_per_atom=-0.2859 pbc="T T T"
Sr 2.640 2.640 1.608
Sr 7.919 7.919 4.823
Ac 0.889 6.946 0.951
Ac 1.666 9.670 4.166
Ac 3.613 6.168 4.166
Ac 4.391 8.892 0.951
Ac 6.168 1.666 5.480
Ac 6.946 4.391 2.265
Ac 8.892 0.889 2.265
Ac 9.670 3.613 5.480
Hg 0.229 6.472 4.151
Hg 1.193 10.330 0.936
Hg 4.086 5.508 0.936
Hg 5.051 9.365 4.151
Hg 5.508 1.193 2.280
Hg 6.472 5.051 5.495
Hg 9.365 0.229 5.495
Hg 10.330 4.086 2.280

---

Record 4
14
Lattice="7.416 0.000 0.000 -3.708 6.422 0.000 0.000 0.000 4.389" Properties=species:S:1:pos:R:3 comment="GGA-PBE NbV3Ga3, optimized geometry" sg="P6_3/m, No. 176" formation_enthalpy_0k_ev_per_atom=-0.1208 pbc="T T T"
Nb 0.000 4.281 1.097
Nb 3.708 2.141 3.292
V -2.813 5.172 1.097
V 0.635 1.400 1.097
V 1.530 0.150 3.292
V 2.178 6.272 1.097
V 3.073 5.022 3.292
V 6.521 1.250 3.292
Ga -1.760 4.017 3.292
Ga 1.109 2.890 3.292
Ga 3.057 0.485 1.097
Ga 0.651 5.937 3.292
Ga 2.599 3.532 1.097
Ga 5.467 2.405 1.097

---

Record 5
5
Lattice="4.896 0.000 0.000 0.000 4.896 0.000 0.000 0.000 4.823" Properties=species:S:1:pos:R:3 comment="GGA-PBE NaZnP2S, optimized geometry" relative_energy_mev_per_atom=845 sg="P4/mmm, No. 123" pbc="T T T"
Na 0.000 0.000 0.000
Zn 2.448 2.448 2.412
P 0.000 2.448 0.000
P 2.448 0.000 0.000
S 0.000 0.000 2.412

---

Record 6
6
Lattice="2.839 -8.364 0.000 2.839 8.364 0.000 0.000 0.000 3.984" Properties=species:S:1:pos:R:3 comment="GGA-PBE Tl5Bi, optimized geometry" relative_energy_mev_per_atom=10 sg="Cmmm, No. 65" formation_enthalpy_0k_ev_per_atom=0.0020 pbc="T T T"
Tl 0.000 0.000 0.000
Tl 2.839 5.594 1.992
Tl 2.839 2.733 0.000
Tl 2.839 -2.733 0.000
Tl 2.839 -5.594 1.992
Bi 2.839 0.000 1.992

---

Record 7
10
Lattice="3.915 0.000 0.000 0.000 3.915 0.000 0.000 0.000 9.626" Properties=species:S:1:pos:R:3 comment="GGA-PBE Dy2Be3CuSi4, optimized geometry" sg="P-4m2, No. 115" dft_energy_ev_per_atom=-5.0327 pbc="T T T"
Dy 0.000 1.958 2.373
Dy 1.958 0.000 7.253
Be 0.000 1.958 8.375
Be 1.958 0.000 1.251
Be 1.958 1.958 4.813
Cu 0.000 0.000 4.813
Si 0.000 0.000 0.000
Si 0.000 1.958 6.144
Si 1.958 0.000 3.482
Si 1.958 1.958 0.000

---

Record 8
4
Lattice="0.000 3.891 3.891 3.891 0.000 3.891 3.891 3.891 0.000" Properties=species:S:1:pos:R:3 comment="GGA-PBE AlIn2I, optimized geometry" relative_energy_mev_per_atom=192 sg="Fm-3m, No. 225" pbc="T T T"
Al 0.000 0.000 0.000
In 1.945 1.945 1.945
In 5.836 5.836 5.836
I 3.891 3.891 3.891

---

Record 9
12
Lattice="4.493 -7.846 0.000 4.493 7.846 0.000 -2.978 0.000 4.234" Properties=species:S:1:pos:R:3 comment="GGA-PBE Tb6Ag5Sb, optimized geometry" sg="C2/m, No. 12" dft_energy_ev_per_atom=-4.2575 pbc="T T T"
Tb 0.003 2.639 3.169
Tb 1.483 0.000 1.045
Tb 0.003 -2.639 3.169
Tb 6.004 2.639 1.066
Tb 4.525 0.000 3.189
Tb 6.004 -2.639 1.066
Ag -1.489 0.000 2.117
Ag 4.493 5.233 0.000
Ag 3.004 2.737 2.117
Ag 3.004 -2.737 2.117
Ag 4.493 -5.233 0.000
Sb 4.493 0.000 0.000

---

Record 10
5
Lattice="5.141 0.000 0.000 0.000 5.141 0.000 0.000 0.000 4.926" Properties=species:S:1:pos:R:3 comment="GGA-PBE YTi2PdCl, optimized geometry" relative_energy_mev_per_atom=1167 sg="P4/mmm, No. 123" pbc="T T T"
Y 0.000 0.000 0.000
Ti 0.000 2.571 0.000
Ti 2.571 0.000 0.000
Pd 2.571 2.571 2.463
Cl 0.000 0.000 2.463

---

Record 11
4
Lattice="3.811 0.000 0.000 0.000 3.811 0.000 0.000 0.000 7.641" Properties=species:S:1:pos:R:3 comment="GGA-PBE SrZr2Sb, optimized geometry" sg="P4/mmm, No. 123" dft_energy_ev_per_atom=-5.7761 pbc="T T T"
Sr 0.000 0.000 0.000
Zr 1.905 1.905 2.408
Zr 1.905 1.905 5.233
Sb 0.000 0.000 3.820

---

Record 12
4
Lattice="4.131 0.000 0.000 0.000 1.479 5.671 0.000 -1.479 5.671" Properties=species:S:1:pos:R:3 comment="GGA-PBE SrNi2Rh, optimized geometry" relative_energy_mev_per_atom=353 sg="Amm2, No. 38" formation_enthalpy_0k_ev_per_atom=0.2436 pbc="T T T"
Sr 0.000 0.000 0.000
Ni 0.000 0.000 8.510
Ni 2.066 0.000 7.208
Rh 2.066 0.000 3.528

---

| no. | D(E_F) (states/eV per cell) |
| --- | --- |
| 1 | 4.017 |
| 2 | 4.406 |
| 3 | 22.345 |
| 4 | 15.069 |
| 5 | 5.180 |
| 6 | 2.730 |
| 7 | 3.395 |
| 8 | 2.346 |
| 9 | 10.718 |
| 10 | 5.509 |
| 11 | 6.388 |
| 12 | 5.328 |